Version w
This record from the Alexandria database describes a relaxed MnAgAu3 crystal. The functional is PBE-GGA.

The value obtained for the spin magnetization is 4.3 μB per cell.

It has space group Pm-3m (No. 221), with a = 4.9197 Å, b = 4.9197 Å, c = 4.9197 Å, α = 90.00°, β = 90.00° and γ = 90.00°. Symmetry generates all atoms from Mn at (0.0000, 0.0000, 0.0000), Ag at (0.5000, 0.5000, 0.5000) and Au at (0.0000, 0.0000, 0.5000).

---

Version x
This record from the Alexandria database describes a relaxed MnAgAu3 crystal. The functional is PBE-GGA.

The value obtained for the spin magnetization is 17.4 μB per cell.

It has space group Cmcm (No. 63), with a = 5.5162 Å, b = 13.8594 Å, c = 5.2031 Å, α = 90.00°, β = 90.00° and γ = 90.00°. Symmetry generates all atoms from Mn at (0.0000, 0.1775, 0.2500), Ag at (0.0000, 0.3583, 0.7500), Au at (0.0000, 0.0000, 0.0000) and Au at (0.2489, 0.3425, 0.2500).

---

Consider the structures shown above. The least stable of them is version w.